(1)
First-principles (PBEsol) data for an optimized crystal structure of LiPb2, as listed in Alexandria via LeMat-Bulk.

Cell: 5.6564 5.6564 5.6564 Å, 138.89 138.89 59.55°
Atoms (fractional coordinates):
1 Li 0.0000 0.0000 0.0000
2 Pb 0.3346 0.3346 0.0000
3 Pb 0.6654 0.6654 0.0000

- excess energy over the best structure of this formula in the dataset (eV per atom) = 0.024
- N(E_F) (states/eV per cell) = 1.20
- total magnetization (μB/f.u.) = 0.000
- total DFT energy (no corrections) (eV per cell) = -10.39
- energy of formation from the pure elements (kcal/mol of atoms) = -3.2



(2)
First-principles (PBEsol) data for an optimized crystal structure of Hg9As4O16, as listed in Alexandria via LeMat-Bulk.

Cell: 10.3561 10.3561 10.3561 Å, 108.34 108.34 108.34°
Atoms (fractional coordinates):
1 Hg 0.0050 0.6261 0.7602
2 Hg 0.0576 0.1081 0.8344
3 Hg 0.1081 0.8344 0.0576
4 Hg 0.1261 0.5050 0.2602
5 Hg 0.2602 0.1261 0.5050
6 Hg 0.2969 0.8470 0.9278
7 Hg 0.3344 0.6081 0.5576
8 Hg 0.3470 0.7969 0.4278
9 Hg 0.4278 0.3470 0.7969
10 Hg 0.5050 0.2602 0.1261
11 Hg 0.5576 0.3344 0.6081
12 Hg 0.6081 0.5576 0.3344
13 Hg 0.6261 0.7602 0.0050
14 Hg 0.7602 0.0050 0.6261
15 Hg 0.7969 0.4278 0.3470
16 Hg 0.8344 0.0576 0.1081
17 Hg 0.8470 0.9278 0.2969
18 Hg 0.9278 0.2969 0.8470
19 As 0.0361 0.8173 0.5378
20 As 0.0378 0.3173 0.5361
21 As 0.2159 0.2159 0.2159
22 As 0.3173 0.5361 0.0378
23 As 0.5361 0.0378 0.3173
24 As 0.5378 0.0361 0.8173
25 As 0.7159 0.7159 0.7159
26 As 0.8173 0.5378 0.0361
27 O 0.0190 0.6418 0.5272
28 O 0.0272 0.1418 0.5190
29 O 0.0618 0.2504 0.1412
30 O 0.1170 0.9325 0.7305
31 O 0.1412 0.0618 0.2504
32 O 0.1418 0.5190 0.0272
33 O 0.1519 0.8806 0.4609
34 O 0.2305 0.4325 0.6170
35 O 0.2504 0.1412 0.0618
36 O 0.3001 0.3575 0.9357
37 O 0.3575 0.9357 0.3001
38 O 0.3702 0.3702 0.3702
39 O 0.3806 0.6519 0.9609
40 O 0.4325 0.6170 0.2305
41 O 0.4357 0.8575 0.8001
42 O 0.4609 0.1519 0.8806
43 O 0.5190 0.0272 0.1418
44 O 0.5272 0.0190 0.6418
45 O 0.5618 0.6412 0.7504
46 O 0.6170 0.2305 0.4325
47 O 0.6412 0.7504 0.5618
48 O 0.6418 0.5272 0.0190
49 O 0.6519 0.9609 0.3806
50 O 0.7305 0.1170 0.9325
51 O 0.7504 0.5618 0.6412
52 O 0.8001 0.4357 0.8575
53 O 0.8575 0.8001 0.4357
54 O 0.8702 0.8702 0.8702
55 O 0.8806 0.4609 0.1519
56 O 0.9325 0.7305 0.1170
57 O 0.9357 0.3001 0.3575
58 O 0.9609 0.3806 0.6519

- N(E_F) (states/eV per cell) = 0.00
- total magnetization (μB/f.u.) = 0.000
- total DFT energy (no corrections) (eV per cell) = -262.36
- E_form (uncorrected) (meV per atom) = -747



(3)
First-principles (PBEsol) data for an optimized crystal structure of Hf2TlCo, as listed in Alexandria via LeMat-Bulk.

Cell: 4.7092 4.7092 4.7092 Å, 60.00 60.00 60.00°
Atoms (fractional coordinates):
1 Hf 0.2500 0.2500 0.2500
2 Hf 0.7500 0.7500 0.7500
3 Tl 0.0000 0.0000 0.0000
4 Co 0.5000 0.5000 0.5000

- N(E_F) (states/eV per cell) = 3.47
- total magnetization (μB/f.u.) = 1.781
- total DFT energy (no corrections) (eV per cell) = -31.07
- energy of formation from the pure elements (kcal/mol of atoms) = 1.8



(4)
First-principles (PBEsol) data for an optimized crystal structure of SiHgSb2, as listed in Alexandria via LeMat-Bulk.

Cell: 6.3459 6.3459 6.3459 Å, 145.90 138.62 54.66°
Atoms (fractional coordinates):
1 Si 0.0000 0.0000 0.0000
2 Hg 0.5000 0.5000 0.0000
3 Sb 0.1907 0.6907 0.5000
4 Sb 0.8093 0.3093 0.5000

- N(E_F) (states/eV per cell) = 1.73
- total magnetization (μB/f.u.) = 0.000
- total DFT energy (no corrections) (eV per cell) = -14.38
- E_form (uncorrected) (meV per atom) = 263



Q: Which value of N(E_F) does entry 3 give?
A: 3.47 states/eV per cell